No. 1
Density functional theory data (PBE-GGA) for a geometry-optimized La3HgRhCl structure.

Cell: 7.638 4.875 9.604 Å, 90.00 102.36 90.00°
Fractional positions:
La  0.056  0.250  0.360
La  0.209  0.250  0.942
La  0.416  0.750  0.617
La  0.584  0.250  0.383
La  0.791  0.750  0.058
La  0.944  0.750  0.640
Hg  0.253  0.750  0.232
Hg  0.747  0.250  0.768
Rh  0.192  0.250  0.642
Rh  0.808  0.750  0.358
Cl  0.398  0.750  0.912
Cl  0.602  0.250  0.088

SG: P2_1/m
V (Å³/atom): 29.1
Uncorrected energy (eV for the cell shown): -58.99


No. 2
Density functional theory data (PBE-GGA) for a geometry-optimized La6HgRu2Cl3 structure.

Cell: 10.447 10.447 9.090 Å, 106.28 106.28 22.83°
Fractional positions:
La  0.034  0.034  0.275
La  0.315  0.315  0.422
La  0.337  0.337  0.877
La  0.663  0.663  0.123
La  0.685  0.685  0.578
La  0.966  0.966  0.725
Hg  0.500  0.500  0.000
Ru  0.168  0.168  0.343
Ru  0.832  0.832  0.657
Cl  0.179  0.179  0.850
Cl  0.500  0.500  0.500
Cl  0.821  0.821  0.150

SG: C2/m
V (Å³/atom): 30.7
Uncorrected energy (eV for the cell shown): -66.25


No. 3
Density functional theory data (PBE-GGA) for a geometry-optimized La6Tc2HgCl3 structure.

Cell: 10.340 10.340 9.213 Å, 106.02 106.02 23.09°
Fractional positions:
La  0.032  0.032  0.275
La  0.318  0.318  0.429
La  0.336  0.336  0.881
La  0.664  0.664  0.119
La  0.682  0.682  0.571
La  0.968  0.968  0.725
Tc  0.157  0.157  0.337
Tc  0.843  0.843  0.663
Hg  0.500  0.500  0.000
Cl  0.182  0.182  0.847
Cl  0.500  0.500  0.500
Cl  0.818  0.818  0.153

SG: C2/m
V (Å³/atom): 30.9
Uncorrected energy (eV for the cell shown): -66.30


No. 4
Density functional theory data (PBE-GGA) for a geometry-optimized LaZn2HgCl structure.

Cell: 5.159 5.159 5.367 Å, 90.00 90.00 90.00°
Fractional positions:
La  0.000  0.000  0.000
Zn  0.000  0.500  0.500
Zn  0.500  0.000  0.500
Hg  0.500  0.500  0.000
Cl  0.000  0.000  0.500

SG: P4/mmm
V (Å³/atom): 28.6
Uncorrected energy (eV for the cell shown): -9.94


No. 5
Density functional theory data (PBE-GGA) for a geometry-optimized Li2HgCl structure.

Cell: 3.316 3.316 7.971 Å, 90.00 90.00 90.00°
Fractional positions:
Li  0.000  0.000  0.000
Li  0.500  0.500  0.396
Hg  0.500  0.500  0.780
Cl  0.000  0.000  0.298

SG: P4mm
V (Å³/atom): 21.9
ΔE to the lowest computed polymorph (meV/atom): 56


No. 6
Density functional theory data (PBE-GGA) for a geometry-optimized Li5HgCl8 structure.

Cell: 7.526 7.526 7.526 Å, 60.00 60.00 60.00°
Fractional positions:
Li  0.000  0.000  0.000
Li  0.096  0.635  0.635
Li  0.635  0.096  0.635
Li  0.635  0.635  0.096
Li  0.635  0.635  0.635
Hg  0.250  0.250  0.250
Cl  0.387  0.387  0.387
Cl  0.387  0.387  0.839
Cl  0.387  0.839  0.387
Cl  0.392  0.869  0.869
Cl  0.839  0.387  0.387
Cl  0.869  0.392  0.869
Cl  0.869  0.869  0.392
Cl  0.869  0.869  0.869

SG: F-43m
V (Å³/atom): 21.5
Uncorrected energy (eV for the cell shown): -43.33


No. 7
Density functional theory data (PBE-GGA) for a geometry-optimized Li2HgCl4 structure.

Cell: 7.569 7.569 7.569 Å, 138.41 138.41 60.28°
Fractional positions:
Li  0.132  0.132  0.000
Li  0.868  0.868  0.000
Hg  0.500  0.500  0.000
Cl  0.000  0.500  0.500
Cl  0.304  0.304  0.000
Cl  0.500  0.000  0.500
Cl  0.696  0.696  0.000

SG: I4/mmm
V (Å³/atom): 27.0
ΔE to the lowest computed polymorph (meV/atom): 239


No. 8
Density functional theory data (PBE-GGA) for a geometry-optimized Li2HgCl structure.

Cell: 4.103 3.355 6.371 Å, 90.00 90.42 90.00°
Fractional positions:
Li  0.003  0.000  0.236
Li  0.997  0.000  0.764
Hg  0.500  0.500  0.000
Cl  0.000  0.500  0.500

SG: P2/m
V (Å³/atom): 21.9
ΔE to the lowest computed polymorph (meV/atom): 34